Here is a geometry-optimized AlCoTeO6 structure from Alexandria via LeMat-Bulk. Energies are from GGA+U.

Output
**N(E_F)**: 0.46 states/eV per atom
**DFT total energy**: -6.066 eV/atom
**Spin magnetization**: 8.09 μB per cell

Cell and atoms, written as POSCAR:
```
AlCoTeO6
1.0
-0.999 -1.352 4.718
-2.620 -1.981 -3.781
5.856 -6.537 -0.633
O Co Te Al
12 2 2 2
Direct
0.649 0.655 0.132
0.351 0.345 0.868
0.655 0.649 0.632
0.006 0.351 0.132
0.006 0.655 0.368
0.994 0.649 0.868
0.994 0.345 0.632
0.345 0.994 0.132
0.655 0.006 0.868
0.345 0.351 0.368
0.351 0.006 0.632
0.649 0.994 0.368
0.000 0.000 0.000
0.000 0.000 0.500
0.333 0.667 0.750
0.667 0.333 0.250
0.667 0.333 0.750
0.333 0.667 0.250
```